[1]
RePRh2 | GGA-PBE | optimized geometry

Results
- Fermi-level density of states: 5.06 states/eV per cell
- Magnetic moment: 0.0 μB per cell
- Formation energy from the elements: 0.22 eV/atom
- Uncorrected energy: -31.7 eV/f.u.

Cell lengths 2.7975, 2.7975, 8.3349 Å; angles 90.00, 90.00, 118.03 degrees
Fractional positions:
Re: 0.5000 0.5000 0.2739
P: 0.0000 0.0000 0.5020
Rh: 0.0000 0.0000 0.0054
Rh: 0.5000 0.5000 0.7186

***

[2]
ReP2Rh | GGA-PBE | optimized geometry

Results
- Relative energy among the computed polymorphs: 0.534 eV/atom
- Fermi-level density of states: 3.00 states/eV per cell
- Magnetic moment: 0.0 μB per cell
- Formation energy from the elements: 0.23 eV/atom
- Uncorrected energy: -29.7 eV/f.u.

Cell lengths 4.7964, 4.7964, 4.7964 Å; angles 143.86, 116.68, 75.13 degrees
Fractional positions:
P: 0.0015 0.0015 0.0000
P: 0.4985 0.4985 0.0000
Re: 0.7500 0.2500 0.5000
Rh: 0.2500 0.7500 0.5000

***

[3]
ReP2Rh | GGA-PBE | optimized geometry

Results
- Relative energy among the computed polymorphs: 0.136 eV/atom
- Fermi-level density of states: 2.75 states/eV per cell
- Magnetic moment: 0.0 μB per cell
- Formation energy from the elements: -0.17 eV/atom
- Uncorrected energy: -31.3 eV/f.u.

Cell lengths 2.9955, 2.9959, 5.9142 Å; angles 90.00, 90.00, 90.00 degrees
Fractional positions:
P: 0.0000 0.0000 0.0095
P: 0.0000 0.0000 0.4905
Re: 0.5000 0.5000 0.2500
Rh: 0.5000 0.5000 0.7500